VASP calculation (PBE-GGA) on crystalline Ba2InOsS6 at its relaxed geometry.

Unit cell a=9.8679 b=9.8679 c=9.8679 alpha=90.00 beta=90.00 gamma=90.00
Last column: nearest neighbours and their distance in Å.
Space group Fm-3m (No. 225)
One atom of each set of equivalent atoms:
Ba: 0.2500 0.2500 0.2500 (multiplicity 8)  12 S 3.49
In: 0.0000 0.0000 0.0000 (multiplicity 4)  6 S 2.56
Os: 0.0000 0.0000 0.5000 (multiplicity 4)  6 S 2.37
S: 0.0000 0.0000 0.2599 (multiplicity 24)  1 Os 2.37, 1 In 2.56

Properties
- Total moment: 2.287 μB/f.u.
- Raw total energy: -5.0408 eV per atom